BiPOsO | GGA-PBE | relaxed

```
8
Lattice="4.0338 0.0000 0.0000 0.0000 4.0338 0.0000 0.0000 0.0000 8.3963" Properties=species:S:1:pos:R:3 pbc="T T T"
Os 0.0000 0.0000 4.1982
Os 2.0169 2.0169 4.1982
O 0.0000 0.0000 0.0000
O 2.0169 2.0169 0.0000
Bi 2.0169 0.0000 7.1696
Bi 0.0000 2.0169 1.2267
P 2.0169 0.0000 3.0026
P 0.0000 2.0169 5.3937
```

Calculated values
Space-group type: P4/nmm
Energy above the most stable polymorph in this dataset: 0.0 meV per atom
Size of the total moment: 0.010 μB/cell



BiPOsO | GGA-PBE | relaxed

```
8
Lattice="-0.4465 -4.1789 -0.5475 -0.3700 -0.5095 4.1912 -9.5134 1.1089 -0.7050" Properties=species:S:1:pos:R:3 pbc="T T T"
P -3.2098 -3.2136 2.5403
P -7.1202 -0.3660 0.3984
Bi -5.1459 -0.8725 2.6540
Bi -5.1841 -2.7072 0.2847
O -0.3891 -1.4269 3.0065
O -0.4274 -3.2616 0.6372
Os -1.1218 -3.4570 2.6950
Os -9.2082 -0.1226 0.2436
```

Calculated values
Space-group type: P4/nmm
Energy above the most stable polymorph in this dataset: 943.1 meV per atom
Size of the total moment: 0.002 μB/cell



BiPOsO | GGA-PBE | relaxed

```
8
Lattice="3.5092 0.0000 0.0000 0.0000 6.5580 0.0000 0.0000 0.0000 7.3905" Properties=species:S:1:pos:R:3 pbc="T T T"
O 1.7546 2.9496 1.8212
O 1.7546 3.6084 5.5165
Bi 0.0000 5.4807 0.5558
Bi 0.0000 1.0773 4.2511
Os 1.7546 3.0856 7.3386
Os 1.7546 3.4724 3.6433
P 0.0000 4.9091 3.2473
P 0.0000 1.6489 6.9425
```

Calculated values
Space-group type: Pmc2_1
Energy above the most stable polymorph in this dataset: 362.8 meV per atom
Size of the total moment: 0.003 μB/cell



BiPOsO | GGA-PBE | relaxed

```
8
Lattice="-3.0389 2.1516 0.5900 -3.6659 -3.9968 -4.3070 -1.6323 -3.6033 4.7331" Properties=species:S:1:pos:R:3 pbc="T T T"
P -4.9884 -3.3524 -1.4244
P -3.6891 -2.8476 3.4275
Os -2.6927 -1.1101 2.2234
Os -6.4515 -6.1199 1.1327
Bi -3.2629 -5.2323 2.2750
Bi -2.5853 -3.5817 -0.2543
O -4.8828 -7.1181 0.8080
O -1.1795 -2.1687 1.8336
```

Calculated values
Space-group type: Pmc2_1
Energy above the most stable polymorph in this dataset: 439.1 meV per atom
Size of the total moment: 0.003 μB/cell



BiOsPb2O6 | GGA-PBE | relaxed

```
10
Lattice="5.0180 -2.9247 0.0000 5.0180 2.9247 0.0000 -3.4314 0.0000 4.9978" Properties=species:S:1:pos:R:3 pbc="T T T"
O 4.4821 -1.3818 1.6878
O 4.4821 1.3818 1.6878
O 4.4457 0.0000 4.0992
O 2.1225 1.3818 3.3101
O 2.1589 0.0000 0.8987
O 2.1225 -1.3818 3.3101
Pb 6.6138 0.0000 1.3921
Pb -0.0092 0.0000 3.6057
Bi 0.0000 0.0000 0.0000
Os 3.3023 0.0000 2.4989
```

Calculated values
Calculated total energy: -6.277 eV/atom
Space-group type: C2/m
Size of the total moment: 2.794 μB/cell



PaBiPO | GGA-PBE | relaxed

```
8
Lattice="-2.8218 2.6754 -1.9493 -3.0534 -1.1147 2.8903 2.6034 6.6060 5.2980" Properties=species:S:1:pos:R:3 pbc="T T T"
O 0.0000 0.0000 0.0000
O -2.9376 0.7803 0.4705
P 0.3125 4.1097 5.1881
P -0.6468 3.2766 0.5804
Bi -1.2242 0.2103 2.0608
Bi 0.8900 7.1760 3.7077
Pa 1.3017 3.3030 2.6490
Pa -1.6359 4.0833 3.1195
```

Calculated values
Space-group type: P4/nmm
Energy above the most stable polymorph in this dataset: 799.7 meV per atom
Size of the total moment: 0.024 μB/cell



PaBiPO | GGA-PBE | relaxed

```
8
Lattice="4.1514 0.0000 0.0000 0.0000 4.1514 0.0000 0.0000 0.0000 9.7467" Properties=species:S:1:pos:R:3 pbc="T T T"
Pa 3.1136 3.1136 8.4861
Pa 1.0379 1.0379 1.2606
O 1.0379 3.1136 0.0000
O 3.1136 1.0379 0.0000
Bi 1.0379 3.1136 4.8733
Bi 3.1136 1.0379 4.8733
P 1.0379 1.0379 7.3431
P 3.1136 3.1136 2.4036
```

Calculated values
Space-group type: P4/nmm
Energy above the most stable polymorph in this dataset: 0.0 meV per atom
Size of the total moment: 1.955 μB/cell



PaBiPO | GGA-PBE | relaxed

```
8
Lattice="4.3725 0.0000 0.0000 0.0000 6.8194 0.0000 0.0000 0.0000 7.1657" Properties=species:S:1:pos:R:3 pbc="T T T"
Bi 0.0000 1.6487 4.1998
Bi 0.0000 5.1707 0.6170
O 2.1863 4.2684 5.4232
O 2.1863 2.5509 1.8404
P 0.0000 1.0517 6.7595
P 0.0000 5.7677 3.1767
Pa 2.1863 2.7177 6.9345
Pa 2.1863 4.1016 3.3517
```

Calculated values
Space-group type: Pmc2_1
Energy above the most stable polymorph in this dataset: 145.6 meV per atom
Size of the total moment: 0.021 μB/cell



PaBiPO | GGA-PBE | relaxed

```
8
Lattice="-2.7917 2.8055 1.4262 -3.6208 0.2267 -7.5335 -3.5603 -4.3461 1.5803" Properties=species:S:1:pos:R:3 pbc="T T T"
Bi -2.0362 -1.8908 -0.2664
Bi -6.5101 -3.8952 -5.0808
O -4.6621 -3.9992 -1.2588
O -3.8660 -1.7645 -4.0964
P -4.1682 -0.4167 -1.1344
P -7.1305 -2.5157 -2.8040
Pa -5.4232 -0.3412 -3.7395
Pa -5.8804 -2.5971 -0.1968
```

Calculated values
Space-group type: Pmc2_1
Energy above the most stable polymorph in this dataset: 21.8 meV per atom
Size of the total moment: 1.957 μB/cell



BiPPdO | GGA-PBE | relaxed

```
8
Lattice="3.5655 0.0000 0.0000 0.0000 7.3582 0.0000 0.0000 0.0000 6.2194" Properties=species:S:1:pos:R:3 pbc="T T T"
Bi 0.0000 5.2985 2.6837
Bi 0.0000 2.0597 5.7934
O 1.7828 6.6217 2.6669
O 1.7828 0.7365 5.7765
P 0.0000 4.8870 5.3978
P 0.0000 2.4712 2.2881
Pd 1.7828 1.4379 3.2700
Pd 1.7828 5.9202 0.1603
```

Calculated values
Space-group type: Pmc2_1
Energy above the most stable polymorph in this dataset: 372.5 meV per atom



BiPPdO | GGA-PBE | relaxed

```
8
Lattice="-1.4076 -3.1012 2.0760 -1.1147 -2.9082 -5.1003 6.2044 -2.6951 0.1808" Properties=species:S:1:pos:R:3 pbc="T T T"
Pd -1.0034 -2.4496 -0.5082
Pd 1.6605 -4.9408 -2.4235
O 5.2590 -2.8865 -0.7463
O 1.4378 -3.4148 -4.1263
P 0.9567 -3.5060 -0.7573
P 3.7552 -5.6458 -2.0563
Bi 3.1543 -1.8783 -0.6671
Bi -0.7287 -2.5678 -4.3300
```

Calculated values
Space-group type: Pmc2_1
Energy above the most stable polymorph in this dataset: 398.3 meV per atom



BiPPdO | GGA-PBE | relaxed

```
8
Lattice="4.4140 0.0000 0.0000 0.0000 4.4140 0.0000 0.0000 0.0000 9.0159" Properties=species:S:1:pos:R:3 pbc="T T T"
Pd 3.3105 3.3105 0.3262
Pd 1.1035 1.1035 8.6897
O 1.1035 3.3105 0.0000
O 3.3105 1.1035 0.0000
Bi 3.3105 1.1035 4.5079
Bi 1.1035 3.3105 4.5079
P 1.1035 1.1035 6.4680
P 3.3105 3.3105 2.5479
```

Calculated values
Space-group type: P4/nmm
Energy above the most stable polymorph in this dataset: 832.9 meV per atom



BiPPdO | GGA-PBE | relaxed

```
8
Lattice="-1.0727 -2.6440 -2.8860 -0.8772 -2.7540 2.8490 -7.8584 2.8364 0.3223" Properties=species:S:1:pos:R:3 pbc="T T T"
Pd -4.9530 -1.2533 -1.2911
Pd -4.8552 -1.3082 1.5764
O -1.0238 -2.6715 -1.4523
O -0.9261 -2.7265 1.4153
Bi -8.1536 -1.6333 0.2467
Bi -1.6546 -0.9282 0.0386
P -5.6364 0.5090 0.2019
P -4.1718 -3.0705 0.0834
```

Calculated values
Space-group type: P4/nmm
Energy above the most stable polymorph in this dataset: 0.0 meV per atom



PmBiPO | GGA-PBE | relaxed

```
8
Lattice="4.4662 0.0000 0.0000 0.0000 6.2236 0.0000 0.0000 0.0000 6.2193" Properties=species:S:1:pos:R:3 pbc="T T T"
Bi 0.0000 0.7825 6.1517
Bi 0.0000 5.4411 3.0421
O 2.2331 5.9094 2.3994
O 2.2331 0.3142 5.5091
Pm 2.2331 1.7221 3.6033
Pm 2.2331 4.5014 0.4936
P 0.0000 3.5101 4.9735
P 0.0000 2.7135 1.8638
```

Calculated values
Space-group type: Pmc2_1
Energy above the most stable polymorph in this dataset: 74.4 meV per atom
Size of the total moment: 0.010 μB/cell



PmBiPO | GGA-PBE | relaxed

```
8
Lattice="4.2719 0.0000 0.0000 0.0000 4.2719 0.0000 0.0000 0.0000 9.7333" Properties=species:S:1:pos:R:3 pbc="T T T"
Pm 3.2040 3.2040 8.7231
Pm 1.0680 1.0680 1.0102
O 3.2040 1.0680 0.0000
O 1.0680 3.2040 0.0000
Bi 1.0680 3.2040 4.8667
Bi 3.2040 1.0680 4.8667
P 1.0680 1.0680 7.1092
P 3.2040 3.2040 2.6241
```

Calculated values
Space-group type: P4/nmm
Energy above the most stable polymorph in this dataset: 0.0 meV per atom
Size of the total moment: 0.006 μB/cell



PmBiPO | GGA-PBE | relaxed

```
8
Lattice="-2.1043 -4.0363 -3.1272 0.7358 -3.5868 4.1344 -4.9733 1.1405 1.8745" Properties=species:S:1:pos:R:3 pbc="T T T"
Pm -2.4609 -3.1289 3.2562
Pm -3.8810 -3.3537 -0.3745
Bi -5.9696 -4.5837 2.6186
Bi -0.3722 -1.8989 0.2631
O -1.3943 -3.9239 -1.3118
O 0.0257 -3.6992 2.3190
P -3.4650 -5.1581 1.6745
P -2.8769 -1.3245 1.2072
```

Calculated values
Space-group type: P4/nmm
Energy above the most stable polymorph in this dataset: 289.1 meV per atom
Size of the total moment: 0.002 μB/cell



PmBiPO | GGA-PBE | relaxed

```
8
Lattice="-3.0453 -0.5432 2.6379 2.9627 -7.4009 1.8962 3.3387 2.4535 4.3595" Properties=species:S:1:pos:R:3 pbc="T T T"
O 3.6297 0.3674 4.2659
O 3.5002 -4.7059 3.0716
P 3.6210 -2.9775 6.6996
P 0.9020 -1.5823 3.8481
Pm 1.9549 -4.1481 4.5352
Pm 2.6079 -0.3824 6.0645
Bi 5.9723 -4.1843 6.0328
Bi 1.9620 0.4367 2.3549
```

Calculated values
Space-group type: Pmc2_1
Energy above the most stable polymorph in this dataset: 62.5 meV per atom
Size of the total moment: 0.001 μB/cell



PmBiPO | GGA-PBE | relaxed

```
8
Lattice="-0.7808 -4.5469 -3.2297 3.4909 -2.9418 3.2976 -4.1691 -1.4807 3.0925" Properties=species:S:1:pos:R:3 pbc="T T T"
P -0.3357 -2.2100 3.1925
P -2.4784 -3.0150 -0.0661
O 1.3551 -3.7444 0.0340
O 0.0000 0.0000 0.0000
Bi -2.4228 -2.9513 4.7407
Bi -0.3913 -2.2738 -1.6142
Pm -2.0846 -0.7404 1.5462
Pm -0.7295 -4.4847 1.5802
```

Calculated values
Space-group type: P4/nmm
Energy above the most stable polymorph in this dataset: 265.8 meV per atom
Size of the total moment: 0.015 μB/cell



SmBiPO | GGA-PBE | relaxed

```
8
Lattice="-1.1585 -2.9453 2.8544 3.0949 -2.5741 -1.3999 6.1229 3.8498 6.4575" Properties=species:S:1:pos:R:3 pbc="T T T"
Sm 4.9174 1.9834 7.2242
Sm 2.1737 -0.8933 -0.0395
O 0.0000 0.0000 0.0000
O 0.9682 -2.7597 0.7272
P 6.0266 1.5292 4.0239
P 1.0645 -0.4391 3.1608
Bi 3.0614 1.9249 3.2287
Bi 4.0296 -0.8348 3.9560
```

Calculated values
Space-group type: P4/nmm
Energy above the most stable polymorph in this dataset: 0.0 meV per atom
Size of the total moment: 0.017 μB/cell



SmBiPO | GGA-PBE | relaxed

```
8
Lattice="-4.8593 -0.0083 -2.5862 0.1231 -5.4991 -0.2136 -2.5529 -0.2435 4.7975" Properties=species:S:1:pos:R:3 pbc="T T T"
P -4.8076 -4.2503 0.2594
P -2.4815 -1.5006 1.7383
Sm -2.3989 -4.2482 1.5920
Sm -4.8901 -1.5028 0.4057
Bi -6.0927 -4.3729 2.6745
Bi -1.1964 -1.3780 -0.6768
O -3.6137 -1.3810 -1.9931
O -1.1225 -4.1264 -0.8068
```

Calculated values
Space-group type: P4/nmm
Energy above the most stable polymorph in this dataset: 277.4 meV per atom
Size of the total moment: 0.003 μB/cell



SmBiPO | GGA-PBE | relaxed

```
8
Lattice="-0.2709 -3.4859 -1.9370 6.6937 1.9286 -4.4068 3.5168 -2.6074 4.2007" Properties=species:S:1:pos:R:3 pbc="T T T"
Bi 6.0767 -1.6690 2.1539
Bi 5.5020 -0.0242 -0.7258
Sm 8.8017 -2.5740 -0.7226
Sm 2.4793 -2.5853 0.1818
P 6.8497 -1.3201 -2.7062
P 4.4197 -3.8306 2.1516
O 8.2087 -1.0010 0.6536
O 3.2656 -0.6149 0.6499
```

Calculated values
Space-group type: Pmc2_1
Energy above the most stable polymorph in this dataset: 35.1 meV per atom
Size of the total moment: 0.002 μB/cell



SmBiPO | GGA-PBE | relaxed

```
8
Lattice="4.9781 0.0000 0.0000 0.0000 6.3364 0.0000 0.0000 0.0000 6.2489" Properties=species:S:1:pos:R:3 pbc="T T T"
Sm 2.4890 4.3596 3.3743
Sm 2.4890 1.9768 0.2499
P 0.0000 1.0644 5.4941
P 0.0000 5.2720 2.3696
Bi 0.0000 1.6698 2.7783
Bi 0.0000 4.6667 5.9028
O 2.4890 3.9696 5.5627
O 2.4890 2.3669 2.4383
```

Calculated values
Space-group type: Pmc2_1
Energy above the most stable polymorph in this dataset: 124.8 meV per atom
Size of the total moment: 0.006 μB/cell



TbBiPO | GGA-PBE | relaxed

```
8
Lattice="3.8244 -3.8244 0.0000 3.8244 3.8244 0.0000 0.0000 0.0000 5.4348" Properties=species:S:1:pos:R:3 pbc="T T T"
Bi 1.9122 0.0000 0.0022
Bi 5.7367 0.0000 5.4325
Tb 3.8244 -1.9122 2.7174
Tb 3.8244 1.9122 2.7174
P 1.9122 0.0000 2.7301
P 5.7367 0.0000 2.7046
O 3.8244 1.9122 0.0000
O 3.8244 -1.9122 0.0000
```

Calculated values
Space-group type: P4/nmm
Energy above the most stable polymorph in this dataset: 268.0 meV per atom
Size of the total moment: 0.006 μB/cell



TbBiPO | GGA-PBE | relaxed

```
8
Lattice="-3.2398 -0.7363 2.0819 3.6612 -6.5624 3.3764 2.0683 3.4350 4.4336" Properties=species:S:1:pos:R:3 pbc="T T T"
Tb 1.4828 0.4625 2.4710
Tb 5.0198 -2.3062 6.9959
P 2.6068 2.0210 4.7713
P 3.8969 -3.8627 4.6981
Bi 1.4665 -2.7234 5.0109
Bi 1.8290 0.1979 6.6083
O 0.2223 -0.5620 3.8392
O 3.0334 -2.0296 7.6947
```

Calculated values
Space-group type: Pmc2_1
Energy above the most stable polymorph in this dataset: 0.0 meV per atom
Size of the total moment: 0.002 μB/cell